Computed, not measured: LiHfScOs after structural relaxation at the PBE level of DFT.

The structure in CIF format:
```
data_LiHfScOs
_cell_length_a 6.522
_cell_length_b 6.522
_cell_length_c 6.522
_cell_angle_alpha 90.00
_cell_angle_beta 90.00
_cell_angle_gamma 90.00
_space_group_name_H-M_alt 'F -4 3 m'
_space_group_IT_number 216
_space_group_name_Hall 'F -4 2 3'
loop_
_atom_site_label
_atom_site_type_symbol
_atom_site_fract_x
_atom_site_fract_y
_atom_site_fract_z
_atom_site_occupancy
Li1 Li 0.000 0.000 0.000 1
Hf1 Hf 0.250 0.250 0.750 1
Sc1 Sc 0.250 0.250 0.250 1
Os1 Os 0.000 0.000 0.500 1
```

Results
- Crystal system: cubic
- Energy relative to the elements: -0.3751 eV/atom